No. 1
This record from OQMD via LeMat-Bulk describes a relaxed structure of TbBiN2O. The functional is PBE-GGA.

## Properties
Volume = 16.079 A^3/atom
DFT total energy = -67.7 eV per cell
Magnetization = 0.0 μB/cell

Unit cell a=6.0660 b=6.0660 c=5.9651 alpha=118.12 beta=118.12 gamma=92.25
Fractional positions:
Tb 0.1758 0.1758 0.9439
O 0.8547 0.1453 0.5000
Bi 0.0000 0.5000 0.5000
Bi 0.5000 0.0000 0.5000
N 0.5409 0.5409 0.4366
Tb 0.8242 0.8242 0.0561
O 0.1453 0.8547 0.5000
N 0.8251 0.1749 0.0000
N 0.4591 0.4591 0.5634
N 0.1749 0.8251 0.0000

***

No. 2
This record from OQMD via LeMat-Bulk describes a relaxed structure of Te2WSeSBr. The functional is PBE-GGA.

## Properties
Volume = 31.609 A^3/atom
DFT total energy = -60.4 eV per cell
ΔE to the lowest computed polymorph = 0.043 eV/atom
Magnetization = 0.0 μB/cell

Unit cell a=6.5845 b=8.4064 c=8.5078 alpha=118.84 beta=105.43 gamma=97.20
Fractional positions:
W 0.2140 0.0002 0.9999
Te 0.5435 0.2613 0.0047
Se 0.1216 0.3007 0.2149
S 0.0206 0.8532 0.1264
Br 0.7401 0.6292 0.4161
Te 0.3774 0.8979 0.6904
Br 0.2599 0.3708 0.5839
Te 0.6226 0.1021 0.3096
Se 0.8784 0.6993 0.7851
S 0.9794 0.1468 0.8736
Te 0.4565 0.7387 0.9953
W 0.7860 0.9998 0.0001